# 1
## SrPb2W (GGA-PBEsol)

Data for an optimized crystal structure of SrPb2W.

V in Å³/cell: 105.49
Energy above the most stable polymorph in this dataset in eV/atom: 0.112
Calculated formation energy in meV per atom: 744

Unit cell a=3.0676 b=3.0676 c=11.4302 alpha=90.00 beta=90.00 gamma=101.27
Element x y z (fractional)
Sr 0.0000 0.0000 0.0000
Pb 0.0000 0.0000 0.4198
Pb 0.5000 0.5000 0.7336
W 0.5000 0.5000 0.2202

---

# 2
## Ca2TaTl (GGA-PBEsol)

Data for an optimized crystal structure of Ca2TaTl.

V in Å³/cell: 104.08
Energy above the most stable polymorph in this dataset in eV/atom: 0.000
Calculated formation energy in meV per atom: 417

Unit cell a=6.5324 b=6.5324 c=6.5324 alpha=150.28 beta=130.64 gamma=58.68
Element x y z (fractional)
Ca 0.0000 0.0000 0.0000
Ca 0.7074 0.2074 0.5000
Ta 0.2585 0.7585 0.5000
Tl 0.4631 0.4631 0.0000